A) Computed, not measured: a geometry-optimized SrHfGe2 structure at the PBE-GGA level of DFT.

abc: 7.140 7.140 7.140
angles: 90.00 90.00 90.00
Space group Fm-3m (No. 225)
One atom of each set of equivalent atoms:
Sr 0.000 0.000 0.000 x4
Hf 0.000 0.000 0.500 x4
Ge 0.250 0.250 0.250 x8

---

B) Computed, not measured: a geometry-optimized SrHfGe2 structure at the PBE-GGA level of DFT.

abc: 4.3357 4.3357 19.0084
angles: 90.00 90.00 120.00
Space group R-3m (No. 166, hexagonal axes)
One atom of each set of equivalent atoms:
Sr 0.0000 0.0000 0.0000 x3
Hf 0.0000 0.0000 0.5000 x3
Ge 0.0000 0.0000 0.2269 x6

---

C) Computed, not measured: a geometry-optimized SrHfGe2 structure at the PBE-GGA level of DFT.

abc: 5.373 5.373 17.557
angles: 90.00 90.00 90.00
Space group I-42d (No. 122)
One atom of each set of equivalent atoms:
Sr 0.000 0.000 0.000 x4
Hf 0.000 0.000 0.500 x4
Ge 0.086 0.250 0.625 x8

---

Top of the stability list: B), leading by 0.286 eV/atom.

---

A) Computed, not measured: a geometry-optimized SrHf2Ge2 structure at the PBE-GGA level of DFT.

abc: 5.103 5.103 10.064
angles: 90.00 90.00 90.00
Space group I4/mmm (No. 139)
One atom of each set of equivalent atoms:
Sr 0.000 0.000 0.000 x2
Hf 0.000 0.000 0.331 x4
Ge 0.000 0.500 0.250 x4

---

B) Computed, not measured: a geometry-optimized SrHf2Ge2 structure at the PBE-GGA level of DFT.

abc: 7.850 7.850 3.578
angles: 90.00 90.00 90.00
Space group P4/mbm (No. 127)
One atom of each set of equivalent atoms:
Sr 0.000 0.000 0.000 x2
Hf 0.154 0.346 0.500 x4
Ge 0.136 0.636 0.000 x4

---

Top of the stability list: B), leading by 0.062 eV/atom.